Entry from Alexandria: a geometry-optimized LaPm6Co3 structure (PBE-GGA).

Output
Calculated formation energy (eV per atom): -0.0482

a = 7.2032 Å, b = 8.6903 Å, c = 8.6903 Å
α = 100.15°, β = 90.00°, γ = 90.00°
Last column: nearest neighbours and their distance in Å.
Positions (direct):
La1 0.0550 0.3274 0.6726  1 Co 2.45
La2 0.5550 0.6726 0.3274  1 Co 2.45
Pm1 0.1700 0.7110 0.6268  4 Co 2.74-3.00
Pm2 0.6700 0.6268 0.7110  4 Co 2.74-3.00
Pm3 0.3158 0.5862 0.9614  2 Co 2.78-3.09
Pm4 0.8158 0.9614 0.5862  2 Co 2.78-3.09
Pm5 0.1657 0.0268 0.9732  4 Co 3.15-3.23, 1 Pm 3.51
Pm6 0.5066 0.2224 0.7776  3 Co 2.70-2.72
Pm7 0.0066 0.7776 0.2224  3 Co 2.70-2.72
Pm8 0.6657 0.9732 0.0268  4 Co 3.15-3.23, 1 Pm 3.51
Pm9 0.3158 0.0386 0.4138  2 Co 2.78-3.09
Pm10 0.8158 0.4138 0.0386  2 Co 2.78-3.09
Pm11 0.1700 0.3732 0.2890  4 Co 2.74-3.00
Pm12 0.6700 0.2890 0.3732  4 Co 2.74-3.00
Co1 0.4642 0.9101 0.6995  4 Pm 2.70-2.89
Co2 0.9642 0.6995 0.9101  4 Pm 2.70-2.89
Co3 0.3582 0.4102 0.5898  1 La 2.45, 1 Pm 2.72
Co4 0.8582 0.5898 0.4102  1 La 2.45, 1 Pm 2.72
Co5 0.9642 0.0899 0.3005  4 Pm 2.70-2.89
Co6 0.4642 0.3005 0.0899  4 Pm 2.70-2.89